Compound: Nd2Y8Cd
Source: Alexandria via LeMat-Bulk
Functional: PBE
Structure: relaxed

The space group is C2/m (No. 12) and the conventional cell measures 18.511, 6.862 and 5.789 Å, with angles of 90.00, 92.00 and 90.00 degrees. Symmetry generates all atoms from Nd at (0.221, 0.000, 0.258), Y at (0.051, 0.000, 0.234), Y at (0.122, 0.240, 0.744), Y at (0.171, 0.500, 0.234) and Cd at (0.000, 0.500, 0.000).

The relative energy among the computed polymorphs comes out at 115.0 meV/atom. The value obtained for the energy relative to the elements is 98 meV/atom. The volume comes out at 735.0 Å³ per cell. The density of states at the Fermi level is 1.583 states/eV/atom.